Entry 1:
{
  "formula": "TaCoAu2",
  "functional": "PBEsol",
  "state": "relaxed",
  "cell": [[2.842, 0.000, 0.000], [0.000, 4.041, 0.000], [0.000, 0.000, 5.297]],
  "species": ["Ta", "Co", "Au", "Au"],
  "frac_coords": [[0.000, 0.000, 0.000], [0.000, 0.000, 0.500], [0.500, 0.500, 0.256], [0.500, 0.500, 0.744]],
  "dos_at_fermi_per_ev_atom": 0.7155,
  "spacegroup": "Pmmm, No. 47",
  "mass_density_g_cm3": 17.30,
  "formation_energy_ev_per_atom": 0.086
}


Entry 2:
{
  "formula": "Ta2CoAu",
  "functional": "PBEsol",
  "state": "relaxed",
  "cell": [[3.171, 0.000, 0.000], [0.000, 3.171, 0.000], [0.000, 0.000, 6.180]],
  "species": ["Ta", "Ta", "Co", "Au"],
  "frac_coords": [[0.000, 0.000, 0.000], [0.500, 0.500, 0.293], [0.500, 0.500, 0.811], [0.000, 0.000, 0.554]],
  "dos_at_fermi_per_ev_atom": 0.5822,
  "spacegroup": "P4mm, No. 99",
  "mass_density_g_cm3": 16.51,
  "formation_energy_ev_per_atom": -0.135
}


Entry 3:
{
  "formula": "TaCoAu",
  "functional": "PBEsol",
  "state": "relaxed",
  "cell": [[0.000, 2.985, 2.985], [2.985, 0.000, 2.985], [2.985, 2.985, 0.000]],
  "species": ["Ta", "Co", "Au"],
  "frac_coords": [[0.000, 0.000, 0.000], [0.500, 0.500, 0.500], [0.750, 0.750, 0.750]],
  "dos_at_fermi_per_ev_atom": 1.2466,
  "spacegroup": "F-43m, No. 216",
  "mass_density_g_cm3": 13.64,
  "formation_energy_ev_per_atom": 0.673
}


What did the third record say?
{
  "formula": "TaCoAu",
  "functional": "PBEsol",
  "state": "relaxed",
  "cell": [[0.000, 2.985, 2.985], [2.985, 0.000, 2.985], [2.985, 2.985, 0.000]],
  "species": ["Ta", "Co", "Au"],
  "frac_coords": [[0.000, 0.000, 0.000], [0.500, 0.500, 0.500], [0.750, 0.750, 0.750]],
  "dos_at_fermi_per_ev_atom": 1.2466,
  "spacegroup": "F-43m, No. 216",
  "mass_density_g_cm3": 13.64,
  "formation_energy_ev_per_atom": 0.673
}